1.
First-principles (GGA-PBE) data for a geometry-optimized InTe2P structure, as listed in Alexandria.

a b c (Å): 6.4540 6.4540 5.7820
angles (deg): 63.22 63.22 31.95
Sites, in units of the cell vectors:
In1 0.2500 0.2500 0.2500
P1 0.7500 0.7500 0.7500
Te1 0.0681 0.0681 0.9321
Te2 0.4319 0.4319 0.5679

Calculated values
uncorrected formation energy	0.1877	eV per atom
offset from the most stable computed form	0.164	eV per atom


2.
First-principles (GGA-PBE) data for a geometry-optimized Nd5Te4H structure, as listed in Alexandria.

a b c (Å): 4.3733 4.3733 15.8329
angles (deg): 97.94 97.94 90.00
Sites, in units of the cell vectors:
Nd1 0.0765 0.0765 0.1530
Nd2 0.5000 0.5000 0.0000
Nd3 0.9235 0.9235 0.8470
Nd4 0.2919 0.2919 0.5838
Nd5 0.7081 0.7081 0.4162
Te1 0.3986 0.3986 0.7972
Te2 0.8116 0.8116 0.6231
Te3 0.1884 0.1884 0.3769
Te4 0.6014 0.6014 0.2028
H1 0.0000 0.0000 0.0000

Calculated values
electronic total energy	-5.12	eV per atom


3.
First-principles (GGA-PBE) data for a geometry-optimized HoSc3 structure, as listed in Alexandria.

a b c (Å): 3.3925 5.2601 5.8610
angles (deg): 90.00 90.00 90.00
Sites, in units of the cell vectors:
Sc1 0.0000 0.0000 0.9957
Sc2 0.5000 0.0000 0.5045
Sc3 0.5000 0.5000 0.8318
Ho1 0.0000 0.5000 0.3347

Calculated values
ΔE_f	21	meV/atom
offset from the most stable computed form	0.002	eV per atom


4.
First-principles (GGA-PBE) data for a geometry-optimized Be2FeCo structure, as listed in Alexandria.

a b c (Å): 5.8193 5.8193 4.7380
angles (deg): 52.11 52.11 90.00
Last column: magnetic moment on the atom in μB.
Sites, in units of the cell vectors:
Be1 0.6308 0.1250 0.2500  -0.06
Be2 0.1192 0.6250 0.2500  -0.06
Be3 0.3750 0.3692 0.7500  -0.06
Be4 0.8750 0.8808 0.7500  -0.06
Co1 0.0000 0.0000 0.0000  1.16
Co2 0.7500 0.2500 0.5000  1.16
Fe1 0.5000 0.5000 0.0000  2.04
Fe2 0.2500 0.7500 0.5000  2.04

Calculated values
ΔE_f	224	meV/atom


5.
First-principles (GGA-PBE) data for a geometry-optimized La4HgRh structure, as listed in Alexandria.

a b c (Å): 6.2873 6.2873 6.2873
angles (deg): 60.00 60.00 60.00
Sites, in units of the cell vectors:
La1 0.8718 0.3761 0.3761
La2 0.3761 0.3761 0.8718
La3 0.3761 0.8718 0.3761
La4 0.3761 0.3761 0.3761
Hg1 0.0000 0.0000 0.0000
Rh1 0.7500 0.7500 0.7500

Calculated values
ΔE_f	406	meV/atom
offset from the most stable computed form	0.896	eV per atom


6.
First-principles (GGA-PBE) data for a geometry-optimized Sm3DyY4 structure, as listed in Alexandria.

a b c (Å): 6.3344 7.3317 11.4293
angles (deg): 90.00 90.00 90.00
Sites, in units of the cell vectors:
Sm1 0.6494 0.6250 0.0000
Sm2 0.9794 0.6247 0.2500
Sm3 0.4794 0.3753 0.2500
Sm4 0.1494 0.3750 0.5000
Sm5 0.4794 0.3753 0.7500
Sm6 0.9794 0.6247 0.7500
Dy1 0.1488 0.3737 0.0000
Dy2 0.6488 0.6263 0.5000
Y1 0.1466 0.8752 0.0000
Y2 0.6464 0.1243 0.0000
Y3 0.9826 0.1245 0.2491
Y4 0.4826 0.8755 0.2509
Y5 0.1464 0.8757 0.5000
Y6 0.6466 0.1248 0.5000
Y7 0.4826 0.8755 0.7491
Y8 0.9826 0.1245 0.7509

Calculated values
ΔE_f	13	meV/atom
offset from the most stable computed form	0.000	eV per atom


7.
First-principles (GGA-PBE) data for a geometry-optimized Ca2TaZn structure, as listed in Alexandria.

a b c (Å): 6.2498 6.2498 5.5362
angles (deg): 69.06 69.06 29.60
Last column: magnetic moment on the atom in μB.
Sites, in units of the cell vectors:
Zn1 0.2237 0.2237 0.2309  0.00
Ca1 0.9689 0.9689 0.0622  0.04
Ca2 0.7669 0.7669 0.7054  0.02
Ta1 0.5405 0.5405 0.5015  0.49

Calculated values
ΔE_f	399	meV/atom


8.
First-principles (GGA-PBE) data for a geometry-optimized NaPrP2O6 structure, as listed in Alexandria.

a b c (Å): 6.6292 6.6292 8.2163
angles (deg): 104.73 104.73 115.90
Sites, in units of the cell vectors:
Na1 0.1268 0.8732 0.2500
Na2 0.8732 0.1268 0.7500
Pr1 0.5339 0.4661 0.2500
Pr2 0.4661 0.5339 0.7500
P1 0.3221 0.0053 0.7524
P2 0.9947 0.6779 0.7476
P3 0.6779 0.9947 0.2476
P4 0.0053 0.3221 0.2524
O1 0.9252 0.5092 0.2744
O2 0.4908 0.0748 0.2256
O3 0.0748 0.4908 0.7256
O4 0.5092 0.9252 0.7744
O5 0.0635 0.2682 0.0825
O6 0.7318 0.9365 0.4175
O7 0.9365 0.7318 0.9175
O8 0.2682 0.0635 0.5825
O9 0.2482 0.4101 0.4179
O10 0.5899 0.7518 0.0821
O11 0.7518 0.5899 0.5821
O12 0.4101 0.2482 0.9179

Calculated values
uncorrected formation energy	-2.5114	eV per atom


We obtain magnetic moment values of 0.00; 0.00; 0.00; 0.75; 0.00; 0.00; 0.24; 0.00 μB/atom for the records listed above, in that order.
We obtain DOS(E_F) values of 1.82; 6.43; 7.85; 3.66; 12.67; 14.62; 3.92; 0.00 states/eV/f.u. for the records listed above, in that order.